(1)
# Ac3Ce2Ru4 | Alexandria | PBE | optimized geometry
# - Offset from the most stable computed form: 0.052 eV/atom
# - Formation enthalpy at 0 K: -225 meV per atom
data_Ac3Ce2Ru4
_chemical_formula_sum 'Ac12 Ce8 Ru16'
_symmetry_space_group_name_H-M 'C 1 2/c 1'
_symmetry_Int_Tables_number 15
_symmetry_space_group_name_Hall '-C 2yc'
_cell_length_a 15.491
_cell_length_b 10.051
_cell_length_c 6.317
_cell_angle_alpha 90.00
_cell_angle_beta 99.77
_cell_angle_gamma 90.00
loop_
_atom_site_label
_atom_site_fract_x
_atom_site_fract_y
_atom_site_fract_z
Ac1 0.000 0.132 0.250
Ac2 0.107 0.393 0.626
Ce1 0.193 0.096 0.972
Ru1 0.143 0.303 0.131
Ru2 0.204 0.136 0.492

---

(2)
# MgSiPd5 | Alexandria | PBE | optimized geometry
# - Offset from the most stable computed form: 0.000 eV/atom
# - E_form (uncorrected): -405 kJ/mol of formula units
data_MgSiPd5
_chemical_formula_sum 'Mg1 Si1 Pd5'
_symmetry_space_group_name_H-M 'P 4/m m m'
_symmetry_Int_Tables_number 123
_symmetry_space_group_name_Hall '-P 4 2'
_cell_length_a 3.973
_cell_length_b 3.973
_cell_length_c 6.958
_cell_angle_alpha 90.00
_cell_angle_beta 90.00
_cell_angle_gamma 90.00
loop_
_atom_site_label
_atom_site_fract_x
_atom_site_fract_y
_atom_site_fract_z
Mg1 0.000 0.000 0.000
Si1 0.500 0.500 0.500
Pd1 0.000 0.500 0.294
Pd2 0.500 0.500 0.000

---

(3)
# LiTaO2 | Alexandria | PBE | optimized geometry
# - E_form (uncorrected): -740 kJ/mol of formula units
data_LiTaO2
_chemical_formula_sum 'Li3 Ta3 O6'
_symmetry_space_group_name_H-M 'R -3 m'
_symmetry_Int_Tables_number 166
_symmetry_space_group_name_Hall '-R 3 2"'
_cell_length_a 2.8999
_cell_length_b 2.8999
_cell_length_c 18.7470
_cell_angle_alpha 90.00
_cell_angle_beta 90.00
_cell_angle_gamma 120.00
loop_
_atom_site_label
_atom_site_fract_x
_atom_site_fract_y
_atom_site_fract_z
Li1 0.0000 0.0000 0.0000
Ta1 0.0000 0.0000 0.5000
O1 0.0000 0.0000 0.0940

---

(4)
# Na2Li2In7 | Alexandria | PBE | optimized geometry
# - Formation enthalpy at 0 K: -118 meV per atom
data_Na2Li2In7
_chemical_formula_sum 'Na4 Li4 In14'
_symmetry_space_group_name_H-M 'I m m 2'
_symmetry_Int_Tables_number 44
_symmetry_space_group_name_Hall 'I 2 -2'
_cell_length_a 4.763
_cell_length_b 14.473
_cell_length_c 8.010
_cell_angle_alpha 90.00
_cell_angle_beta 90.00
_cell_angle_gamma 90.00
loop_
_atom_site_label
_atom_site_fract_x
_atom_site_fract_y
_atom_site_fract_z
Na1 0.000 0.000 0.000
Na2 0.000 0.500 0.164
Li1 0.000 0.276 0.066
In1 0.000 0.133 0.362
In2 0.000 0.177 0.746
In3 0.000 0.344 0.487
In4 0.000 0.500 0.770